(1)
The following is a GGA-PBEsol calculation of crystalline YMnRe2 at its relaxed geometry, from Alexandria.

Cell: 3.7615 3.7615 4.6430 Å, 90.00 90.00 90.00°
Last column: magnetic moment on the atom in μB.
Element x y z (fractional)
1 Mn 0.0000 0.0000 0.5000  2.69
2 Re 0.0000 0.5000 0.0000  0.00
3 Re 0.5000 0.0000 0.0000  0.00
4 Y 0.5000 0.5000 0.5000  -0.08

Computed properties:
calculated formation energy = 53.8 kJ/mol of atoms

=====

(2)
The following is a GGA-PBEsol calculation of crystalline Sc3ZnIr at its relaxed geometry, from Alexandria.

Cell: 4.9637 4.9637 4.9637 Å, 90.00 90.00 90.00°
Element x y z (fractional)
1 Sc 0.0000 0.5000 0.0000
2 Ir 0.0000 0.0000 0.0000
3 Zn 0.5000 0.5000 0.5000
4 Sc 0.0000 0.0000 0.5000
5 Sc 0.5000 0.0000 0.0000

Computed properties:
calculated formation energy = -9.4 kJ/mol of atoms

=====

(3)
The following is a GGA-PBEsol calculation of crystalline Tc2TeSe at its relaxed geometry, from Alexandria.

Cell: 3.1500 4.6138 4.7956 Å, 90.00 90.00 90.00°
Element x y z (fractional)
1 Te 0.0000 0.0000 0.5274
2 Se 0.5000 0.5000 0.1878
3 Tc 0.0000 0.5000 0.8090
4 Tc 0.5000 0.0000 0.9759

Computed properties:
energy relative to the lowest polymorph listed for this composition = 0 meV per atom
formation energy without anion corrections = 0.21 kcal/mol of atoms

=====

(4)
The following is a GGA-PBEsol calculation of crystalline TaAgAu2 at its relaxed geometry, from Alexandria.

Cell: 2.8100 4.8972 4.9935 Å, 90.00 90.00 90.00°
Element x y z (fractional)
1 Ag 0.0000 0.5000 0.5000
2 Au 0.5000 0.0000 0.5000
3 Au 0.0000 0.0000 0.0000
4 Ta 0.5000 0.5000 0.0000

Computed properties:
calculated formation energy = 23.7 kJ/mol of atoms

=====

(5)
The following is a GGA-PBEsol calculation of crystalline CdRe2Ag at its relaxed geometry, from Alexandria.

Cell: 3.1021 4.3195 5.4726 Å, 113.24 106.46 90.00°
Element x y z (fractional)
1 Re 0.7524 0.7524 0.5048
2 Ag 0.5000 0.0000 0.0000
3 Cd 0.0000 0.5000 0.0000
4 Re 0.2476 0.2476 0.4952

Computed properties:
calculated formation energy = 63.7 kJ/mol of atoms

=====

(6)
The following is a GGA-PBEsol calculation of crystalline LaHg2Sb at its relaxed geometry, from Alexandria.

Cell: 4.5394 4.5394 5.0038 Å, 90.00 90.00 90.00°
Element x y z (fractional)
1 Sb 0.0000 0.0000 0.5000
2 Hg 0.0000 0.5000 0.0000
3 Hg 0.5000 0.0000 0.0000
4 La 0.5000 0.5000 0.5000

Computed properties:
formation energy without anion corrections = -14.78 kcal/mol of atoms

=====

(7)
The following is a GGA-PBEsol calculation of crystalline MgGa3Co at its relaxed geometry, from Alexandria.

Cell: 4.8798 4.8798 4.8798 Å, 90.00 90.00 90.00°
Last column: magnetic moment on the atom in μB.
Element x y z (fractional)
1 Co 0.5000 0.5000 0.5000  2.08
2 Ga 0.0000 0.5000 0.0000  0.00
3 Ga 0.0000 0.0000 0.5000  0.00
4 Ga 0.5000 0.0000 0.0000  0.00
5 Mg 0.0000 0.0000 0.0000  0.01

Computed properties:
calculated formation energy = 114.7 kJ/mol of atoms

=====

(8)
The following is a GGA-PBEsol calculation of crystalline K2LiPb at its relaxed geometry, from Alexandria.

Cell: 5.7551 5.7578 5.7551 Å, 60.02 90.00 119.98°
Last column: magnetic moment on the atom in μB.
Element x y z (fractional)
1 K 0.0000 0.0000 0.0000  0.01
2 Li 0.5000 0.0000 0.5000  0.01
3 K 0.2500 0.5000 0.2500  0.01
4 Pb 0.7500 0.5000 0.7500  0.17

Computed properties:
calculated formation energy = -3.4 kJ/mol of atoms

=====

It is found that the DFT total energy values, taken in the order of the records, are -0.754; -0.466; -0.549; -0.418; -0.524; -0.250; -0.199; -0.154 Ry/atom.